Below is Rb4MgIn4 after structural relaxation, with properties calculated at the GGA-PBE level.

a = 7.4222 Å, b = 9.8050 Å, c = 7.4222 Å
α = 67.76°, β = 90.00°, γ = 112.24°
With the nearest neighbours (Å) after each atom.
Sites, in units of the cell vectors:
In1 0.9960 0.6954 0.0040  1 Mg 2.96, 1 In 3.11
Rb1 0.5582 0.7540 0.8041  3 In 3.72-3.74, 1 Rb 3.80, 1 Mg 3.92
Rb2 0.8041 0.2460 0.1959  3 In 3.72-3.74, 1 Rb 3.80, 1 Mg 3.92
Mg1 0.0000 0.0000 0.0000  4 In 2.96
In2 0.3006 0.3046 0.9960  1 Mg 2.96, 1 In 3.11
Rb3 0.1959 0.7540 0.4418  3 In 3.72-3.74, 1 Rb 3.80, 1 Mg 3.92
In3 0.0040 0.3046 0.6994  1 Mg 2.96, 1 In 3.11
Rb4 0.4418 0.2460 0.5582  3 In 3.72-3.74, 1 Rb 3.80, 1 Mg 3.92
In4 0.6994 0.6954 0.3006  1 Mg 2.96, 1 In 3.11

For the electronic total energy, the calculation gives -1.6549 eV per atom. The volume is 50.69 Å³/atom.



Below is Zn2Bi2Se after structural relaxation, with properties calculated at the GGA-PBE level.

a = 7.9254 Å, b = 7.9254 Å, c = 3.8304 Å
α = 90.00°, β = 90.00°, γ = 90.00°
With the nearest neighbours (Å) after each atom.
Sites, in units of the cell vectors:
Se1 0.0000 0.0000 0.0000  4 Zn 3.21, 8 Bi 3.44
Zn1 0.1106 0.3894 0.0000  1 Zn 2.48
Zn2 0.8894 0.6106 0.0000  1 Zn 2.48
Bi1 0.7983 0.2983 0.5000  2 Zn 2.84
Bi2 0.2983 0.2017 0.5000  2 Zn 2.84
Bi3 0.2017 0.7017 0.5000  2 Zn 2.84
Se2 0.5000 0.5000 0.0000  4 Zn 3.21, 8 Bi 3.44
Bi4 0.7017 0.7983 0.5000  2 Zn 2.84
Zn3 0.6106 0.1106 0.0000  1 Zn 2.48
Zn4 0.3894 0.8894 0.0000  1 Zn 2.48

For the electronic total energy, the calculation gives -2.5850 eV per atom. As for the energy relative to the elements, uncorrected: 0.17 eV/atom. As for the polymorph energy (0 for the lowest one): 70 meV/atom. The volume is 24.06 Å³/atom.



Below is MnOsCl2 after structural relaxation, with properties calculated at the GGA-PBE level.

a = 4.6292 Å, b = 4.6292 Å, c = 4.6292 Å
α = 122.66°, β = 122.66°, γ = 85.46°
With the nearest neighbours (Å) after each atom.
Sites, in units of the cell vectors:
Cl1 0.2500 0.7500 0.5000  4 Mn 2.80, 4 Cl 2.80
Mn1 0.5000 0.5000 0.0000  4 Cl 2.80, 4 Os 2.80
Os1 0.7500 0.2500 0.5000  4 Cl 2.80, 4 Mn 2.80
Cl2 0.0000 0.0000 0.0000  4 Cl 2.80, 4 Os 2.80

For the electronic total energy, the calculation gives -4.9425 eV per atom. As for the energy relative to the elements, uncorrected: 1.08 eV/atom. As for the polymorph energy (0 for the lowest one): 1111 meV/atom. The volume is 16.77 Å³/atom.